A crystal of SiTc2SbF relaxed with PBEsol, computed with SCAN.

Summary:
The value obtained for the volume is 77.35 Å³/cell. As for the raw formation energy: 0.03 eV per atom.

Cell and atoms, written as POSCAR:
```
SiTc2SbF
1.0
4.663 0.000 0.000
0.000 4.663 0.000
0.000 0.000 3.558
Si Tc Sb F
1 2 1 1
Direct
0.000 0.000 0.000
0.000 0.500 0.000
0.500 0.000 0.000
0.500 0.500 0.500
0.000 0.000 0.500
```